Here is a relaxed NdMgSnPd crystal from Alexandria via LeMat-Bulk. Energies are from PBE.

The value obtained for the energy relative to the elements is -2.35 eV per formula unit. The density of states at the Fermi level is 5.309 states/eV per cell.

The structure belongs to space group F-43m (No. 216); the cell edges are 7.1656, 7.1656 and 7.1656 Å and the angles 90.00°, 90.00° and 90.00°. The inequivalent atoms are Nd at (0.0000, 0.0000, 0.0000), Mg at (0.0000, 0.0000, 0.5000), Sn at (0.2500, 0.2500, 0.2500) and Pd at (0.2500, 0.2500, 0.7500).